[1]
The following is a PBE calculation of a relaxed DyScIrO6 crystal, from the Alexandria database.

Space-group type: P-31c (163)
ΔE_f (raw) (meV/atom): -2140
Spin magnetization (μB per cell): 0.9
Calculated total energy (eV/atom): -7.645

a b c (Å): 5.394 5.394 8.955
angles (deg): 90.00 90.00 120.00
Atoms (fractional coordinates):
Dy 0.333 0.667 0.250
Dy 0.667 0.333 0.750
Sc 0.000 0.000 0.000
Sc 0.000 0.000 0.500
Ir 0.667 0.333 0.250
Ir 0.333 0.667 0.750
O 0.686 0.642 0.126
O 0.956 0.314 0.126
O 0.314 0.956 0.626
O 0.044 0.686 0.874
O 0.358 0.314 0.374
O 0.956 0.642 0.374
O 0.642 0.956 0.874
O 0.686 0.044 0.374
O 0.044 0.358 0.626
O 0.358 0.044 0.126
O 0.642 0.686 0.626
O 0.314 0.358 0.874

[2]
The following is a PBE calculation of a relaxed SmDyIrO6 crystal, from the Alexandria database.

Space-group type: P-31c (163)
ΔE_f (raw) (meV/atom): -2186
Spin magnetization (μB per cell): 5.8
Calculated total energy (eV/atom): -7.512

a b c (Å): 5.519 5.519 9.806
angles (deg): 90.00 90.00 120.00
Atoms (fractional coordinates):
Sm 0.000 0.000 0.000
Sm 0.000 0.000 0.500
Dy 0.333 0.667 0.250
Dy 0.667 0.333 0.750
Ir 0.667 0.333 0.250
Ir 0.333 0.667 0.750
O 0.669 0.628 0.137
O 0.959 0.331 0.137
O 0.331 0.959 0.637
O 0.041 0.669 0.863
O 0.372 0.331 0.363
O 0.959 0.628 0.363
O 0.628 0.959 0.863
O 0.669 0.041 0.363
O 0.041 0.372 0.637
O 0.372 0.041 0.137
O 0.628 0.669 0.637
O 0.331 0.372 0.863

Question: What is the spin magnetization in the second record?
Answer: 5.8 μB per cell

Question: The lowest spin magnetization belongs to which entry?
Answer: DyScIrO6

Question: The lowest ΔE_f (raw) belongs to which entry?
Answer: SmDyIrO6